[1]
The following is a PBE-GGA calculation of a relaxed structure of Ce2NdSeO4, from the Alexandria database.

Unit cell a=3.949 b=3.949 c=9.026 alpha=90.00 beta=90.00 gamma=90.00
Last column: magnetic moment on the atom in μB.
Element x y z (fractional)
Ce (0.500, 0.500, 0.284)  0.53
Ce (0.500, 0.500, 0.716)  0.53
Nd (0.000, 0.000, 0.000)  0.01
Se (0.000, 0.000, 0.500)  -0.03
O (0.000, 0.500, 0.163)  -0.02
O (0.500, 0.000, 0.837)  -0.02
O (0.500, 0.000, 0.163)  -0.02
O (0.000, 0.500, 0.837)  -0.02

Calculated values
Symmetry = P4/mmm, No. 123
Magnetic moment = 0.132 μB per atom
DFT total energy = -65.3 eV/cell
DOS at the Fermi energy = 7.987 states/eV per cell

---

[2]
The following is a PBE-GGA calculation of a relaxed structure of Ac2AgHg2, from the Alexandria database.

Unit cell a=4.896 b=6.332 c=11.067 alpha=88.99 beta=77.22 gamma=67.25
Element x y z (fractional)
Ac (0.683, 0.289, 0.346)
Ac (0.924, 0.261, 0.891)
Ac (0.317, 0.711, 0.654)
Ac (0.076, 0.739, 0.109)
Ag (0.608, 0.117, 0.668)
Ag (0.392, 0.883, 0.332)
Hg (0.070, 0.287, 0.574)
Hg (0.647, 0.824, 0.882)
Hg (0.930, 0.713, 0.426)
Hg (0.353, 0.176, 0.118)

Calculated values
Symmetry = C2/m, No. 12
Magnetic moment = 0.000 μB per atom
Offset from the most stable computed form = 0.0 meV per atom
Energy relative to the elements = -38.6 kJ/mol of atoms
DOS at the Fermi energy = 8.050 states/eV per cell

---

Among the records above, which one has the lowest magnetic moment? Ac2AgHg2

---

Please write out number 1 again, unchanged.
The following is a PBE-GGA calculation of a relaxed structure of Ce2NdSeO4, from the Alexandria database.

Unit cell a=3.949 b=3.949 c=9.026 alpha=90.00 beta=90.00 gamma=90.00
Last column: magnetic moment on the atom in μB.
Element x y z (fractional)
Ce (0.500, 0.500, 0.284)  0.53
Ce (0.500, 0.500, 0.716)  0.53
Nd (0.000, 0.000, 0.000)  0.01
Se (0.000, 0.000, 0.500)  -0.03
O (0.000, 0.500, 0.163)  -0.02
O (0.500, 0.000, 0.837)  -0.02
O (0.500, 0.000, 0.163)  -0.02
O (0.000, 0.500, 0.837)  -0.02

Calculated values
Symmetry = P4/mmm, No. 123
Magnetic moment = 0.132 μB per atom
DFT total energy = -65.3 eV/cell
DOS at the Fermi energy = 7.987 states/eV per cell

---

What is the formula in the first record? Ce2NdSeO4